# 1
A crystal of Mg5Hg relaxed with PBEsol. Source: Alexandria, functional meta-GGA SCAN.

Output
* space group: Amm2
* E above lowest polymorph: 0.0329 eV/atom
* E_form: -0.8 eV per formula unit

Unit cell a=3.224 b=5.016 c=8.156 alpha=90.00 beta=101.40 gamma=90.00
Atoms (fractional coordinates):
Mg: 0.551 0.500 0.103
Hg: 0.001 0.000 0.002
Mg: 0.664 0.000 0.328
Mg: 0.222 0.500 0.444
Mg: 0.340 0.000 0.680
Mg: 0.888 0.500 0.776

# 2
A crystal of Mg2Hg relaxed with PBEsol. Source: Alexandria, functional meta-GGA SCAN.

Output
* space group: Fd-3m
* E_form: -1.0 eV per formula unit

Unit cell a=9.002 b=9.002 c=9.002 alpha=60.00 beta=60.00 gamma=60.00
Atoms (fractional coordinates):
Mg: 0.125 0.125 0.625
Hg: 0.904 0.904 0.904
Hg: 0.963 0.346 0.346
Mg: 0.125 0.625 0.125
Mg: 0.306 0.694 0.694
Mg: 0.306 0.306 0.694
Mg: 0.306 0.694 0.306
Mg: 0.694 0.694 0.306
Hg: 0.346 0.346 0.346
Mg: 0.125 0.125 0.125
Mg: 0.556 0.944 0.556
Hg: 0.346 0.346 0.963
Mg: 0.694 0.306 0.694
Mg: 0.694 0.306 0.306
Hg: 0.346 0.963 0.346
Hg: 0.904 0.904 0.287
Mg: 0.944 0.944 0.556
Mg: 0.944 0.556 0.556
Hg: 0.287 0.904 0.904
Hg: 0.904 0.287 0.904
Mg: 0.556 0.944 0.944
Mg: 0.625 0.125 0.125
Mg: 0.556 0.556 0.944
Mg: 0.944 0.556 0.944

# 3
A crystal of MgHg3 relaxed with PBEsol. Source: Alexandria, functional meta-GGA SCAN.

Output
* space group: Pm-3n
* E_form: -0.3 eV per formula unit

Unit cell a=5.624 b=5.624 c=5.624 alpha=90.00 beta=90.00 gamma=90.00
Atoms (fractional coordinates):
Hg: 0.500 0.000 0.250
Hg: 0.500 0.000 0.750
Mg: 0.500 0.500 0.500
Hg: 0.750 0.500 0.000
Mg: 0.000 0.000 0.000
Hg: 0.000 0.750 0.500
Hg: 0.250 0.500 0.000
Hg: 0.000 0.250 0.500

# 4
A crystal of MgHg3 relaxed with PBEsol. Source: Alexandria, functional meta-GGA SCAN.

Output
* space group: Pmmn
* E_form: -0.5 eV per formula unit

Unit cell a=4.944 b=5.677 c=6.158 alpha=90.00 beta=90.00 gamma=90.00
Atoms (fractional coordinates):
Hg: 0.000 0.159 0.249
Hg: 0.500 0.358 0.000
Hg: 0.000 0.642 0.500
Hg: 0.500 0.841 0.749
Mg: 0.000 0.668 0.000
Hg: 0.500 0.841 0.251
Hg: 0.000 0.159 0.751
Mg: 0.500 0.332 0.500

# 5
A crystal of MgHg3 relaxed with PBEsol. Source: Alexandria, functional meta-GGA SCAN.

Output
* space group: P-6m2
* E_form: -0.5 eV per formula unit

Unit cell a=3.385 b=3.385 c=8.968 alpha=90.00 beta=90.00 gamma=120.00
Atoms (fractional coordinates):
Hg: 0.000 0.000 0.000
Hg: 0.333 0.667 0.739
Hg: 0.333 0.667 0.261
Mg: 0.000 0.000 0.500

# 6
A crystal of Mg2Hg relaxed with PBEsol. Source: Alexandria, functional meta-GGA SCAN.

Output
* space group: P6_3/mmc
* E_form: -1.1 eV per formula unit

Unit cell a=4.841 b=4.841 c=6.087 alpha=90.00 beta=90.00 gamma=120.00
Atoms (fractional coordinates):
Mg: 0.000 0.000 0.500
Mg: 0.333 0.667 0.750
Hg: 0.667 0.333 0.750
Mg: 0.667 0.333 0.250
Hg: 0.333 0.667 0.250
Mg: 0.000 0.000 0.000

# 7
A crystal of MgHg relaxed with PBEsol. Source: Alexandria, functional meta-GGA SCAN.

Output
* space group: Pbcm
* E_form: -0.6 eV per formula unit

Unit cell a=6.009 b=8.467 c=9.915 alpha=90.00 beta=90.00 gamma=90.00
Atoms (fractional coordinates):
Mg: 0.750 0.635 0.664
Mg: 0.750 0.545 0.130
Hg: 0.000 0.750 0.904
Hg: 0.250 0.610 0.151
Mg: 0.250 0.955 0.130
Hg: 0.500 0.250 0.096
Hg: 0.500 0.750 0.904
Mg: 0.500 0.750 0.381
Hg: 0.750 0.453 0.417
Hg: 0.250 0.110 0.849
Mg: 0.500 0.250 0.619
Hg: 0.250 0.047 0.417
Hg: 0.750 0.953 0.583
Mg: 0.000 0.750 0.381
Mg: 0.250 0.365 0.336
Hg: 0.000 0.250 0.096
Mg: 0.750 0.045 0.870
Mg: 0.750 0.135 0.336
Hg: 0.750 0.890 0.151
Mg: 0.000 0.250 0.619
Mg: 0.250 0.455 0.870
Hg: 0.250 0.547 0.583
Mg: 0.250 0.865 0.664
Hg: 0.750 0.390 0.849

# 8
A crystal of MgHg relaxed with PBEsol. Source: Alexandria, functional meta-GGA SCAN.

Output
* space group: P-1
* E_form: -0.6 eV per formula unit

Unit cell a=3.477 b=4.780 c=6.494 alpha=125.47 beta=104.22 gamma=90.25
Atoms (fractional coordinates):
Hg: 0.118 0.424 0.244
Mg: 0.617 0.917 0.240
Hg: 0.882 0.576 0.756
Mg: 0.383 0.083 0.760

# 9
A crystal of MgHg relaxed with PBEsol. Source: Alexandria, functional meta-GGA SCAN.

Output
* space group: P-6m2
* E_form: -0.6 eV per formula unit

Unit cell a=3.328 b=3.328 c=4.454 alpha=90.00 beta=90.00 gamma=120.00
Atoms (fractional coordinates):
Hg: 0.000 0.000 0.000
Mg: 0.667 0.333 0.500

# 10
A crystal of Mg5Hg3 relaxed with PBEsol. Source: Alexandria, functional meta-GGA SCAN.

Output
* space group: P6_3/mcm
* E above lowest polymorph: 0.0000 eV/atom
* E_form: -3.0 eV per formula unit

Unit cell a=5.799 b=8.238 c=8.238 alpha=120.00 beta=90.00 gamma=90.00
Atoms (fractional coordinates):
Hg: 0.750 0.613 0.613
Mg: 0.000 0.333 0.667
Mg: 0.250 0.746 0.746
Mg: 0.750 0.746 0.000
Mg: 0.750 0.254 0.254
Hg: 0.250 0.613 0.000
Mg: 0.250 0.000 0.254
Mg: 0.000 0.667 0.333
Mg: 0.250 0.254 0.000
Hg: 0.250 0.000 0.613
Mg: 0.500 0.333 0.667
Mg: 0.500 0.667 0.333
Hg: 0.750 0.000 0.387
Hg: 0.750 0.387 0.000
Mg: 0.750 0.000 0.746
Hg: 0.250 0.387 0.387

# 11
A crystal of Mg5Hg relaxed with PBEsol. Source: Alexandria, functional meta-GGA SCAN.

Output
* space group: Cmmm
* E above lowest polymorph: 0.0151 eV/atom
* E_form: -0.9 eV per formula unit

Unit cell a=4.440 b=4.396 c=6.938 alpha=90.00 beta=108.66 gamma=90.00
Atoms (fractional coordinates):
Mg: 0.335 0.500 0.671
Mg: 0.838 0.000 0.676
Mg: 0.665 0.500 0.329
Mg: 0.000 0.500 0.000
Mg: 0.162 0.000 0.324
Hg: 0.500 0.000 0.000

# 12
A crystal of Mg2Hg relaxed with PBEsol. Source: Alexandria, functional meta-GGA SCAN.

Output
* space group: P-3m1
* E_form: -0.8 eV per formula unit

Unit cell a=3.288 b=4.736 c=4.736 alpha=120.00 beta=90.00 gamma=90.00
Atoms (fractional coordinates):
Mg: 0.732 0.667 0.333
Mg: 0.268 0.333 0.667
Hg: 0.000 0.000 0.000

# 13
A crystal of Mg2Hg relaxed with PBEsol. Source: Alexandria, functional meta-GGA SCAN.

Output
* space group: Fm-3m
* E_form: -1.0 eV per formula unit

Unit cell a=4.653 b=4.653 c=4.653 alpha=60.00 beta=60.00 gamma=60.00
Atoms (fractional coordinates):
Mg: 0.250 0.250 0.250
Hg: 0.000 0.000 0.000
Mg: 0.750 0.750 0.750

# 14
A crystal of MgHg2 relaxed with PBEsol. Source: Alexandria, functional meta-GGA SCAN.

Output
* space group: Fm-3m
* E_form: -0.5 eV per formula unit

Unit cell a=4.672 b=4.672 c=4.672 alpha=60.00 beta=60.00 gamma=60.00
Atoms (fractional coordinates):
Mg: 0.000 0.000 0.000
Hg: 0.750 0.750 0.750
Hg: 0.250 0.250 0.250

# 15
A crystal of MgHg2 relaxed with PBEsol. Source: Alexandria, functional meta-GGA SCAN.

Output
* space group: I4/mcm
* E_form: -0.5 eV per formula unit

Unit cell a=5.614 b=5.614 c=5.614 alpha=108.26 beta=108.26 gamma=111.93
Atoms (fractional coordinates):
Hg: 0.841 0.341 0.181
Hg: 0.159 0.659 0.819
Hg: 0.341 0.159 0.500
Mg: 0.750 0.750 0.000
Mg: 0.250 0.250 0.000
Hg: 0.659 0.841 0.500

# 16
A crystal of MgHg3 relaxed with PBEsol. Source: Alexandria, functional meta-GGA SCAN.

Output
* space group: Cmmm
* E_form: -0.5 eV per formula unit

Unit cell a=3.798 b=4.933 c=4.933 alpha=107.09 beta=90.00 gamma=90.00
Atoms (fractional coordinates):
Hg: 0.500 0.500 0.000
Mg: 0.000 0.500 0.500
Hg: 0.000 0.000 0.000
Hg: 0.500 0.000 0.500

# 17
A crystal of Mg5Hg relaxed with PBEsol. Source: Alexandria, functional meta-GGA SCAN.

Output
* space group: R32
* E above lowest polymorph: 0.0105 eV/atom
* E_form: -0.9 eV per formula unit

Unit cell a=5.401 b=5.401 c=5.960 alpha=63.06 beta=63.06 gamma=60.00
Atoms (fractional coordinates):
Mg: 0.667 0.667 0.000
Mg: 0.500 0.839 0.500
Mg: 0.333 0.333 0.000
Hg: 0.000 0.000 0.000
Mg: 0.161 0.500 0.500
Mg: 0.839 0.161 0.500

# 18
A crystal of Mg5Hg3 relaxed with PBEsol. Source: Alexandria, functional meta-GGA SCAN.

Output
* space group: I4/mcm
* E above lowest polymorph: 0.0432 eV/atom
* E_form: -2.7 eV per formula unit

Unit cell a=5.738 b=8.212 c=8.212 alpha=82.99 beta=69.55 gamma=69.55
Atoms (fractional coordinates):
Hg: 0.664 0.173 0.500
Hg: 0.750 0.000 0.000
Hg: 0.250 0.000 0.000
Hg: 0.164 0.500 0.173
Mg: 0.422 0.300 0.856
Mg: 0.922 0.856 0.300
Hg: 0.836 0.500 0.827
Mg: 0.250 0.500 0.500
Mg: 0.778 0.300 0.144
Mg: 0.722 0.856 0.700
Mg: 0.222 0.700 0.856
Mg: 0.278 0.144 0.300
Hg: 0.336 0.827 0.500
Mg: 0.078 0.144 0.700
Mg: 0.750 0.500 0.500
Mg: 0.578 0.700 0.144

# 19
A crystal of MgHg2 relaxed with PBEsol. Source: Alexandria, functional meta-GGA SCAN.

Output
* space group: Cm
* E_form: -0.6 eV per formula unit

Unit cell a=3.457 b=5.715 c=7.025 alpha=99.55 beta=90.00 gamma=107.61
Atoms (fractional coordinates):
Mg: 0.034 0.068 0.588
Hg: 0.385 0.770 0.262
Hg: 0.022 0.044 0.992
Hg: 0.325 0.649 0.680
Mg: 0.735 0.470 0.958
Hg: 0.666 0.332 0.353

# 20
A crystal of Mg5Hg relaxed with PBEsol. Source: Alexandria, functional meta-GGA SCAN.

Output
* space group: P-62m
* E above lowest polymorph: 0.0000 eV/atom
* E_form: -1.0 eV per formula unit

Unit cell a=5.049 b=5.398 c=5.398 alpha=120.00 beta=90.00 gamma=90.00
Atoms (fractional coordinates):
Mg: 0.000 0.326 0.326
Mg: 0.000 0.674 0.000
Mg: 0.500 0.667 0.333
Hg: 0.500 0.000 0.000
Mg: 0.000 0.000 0.674
Mg: 0.500 0.333 0.667